[1]
CuAs | PBE-GGA | optimized geometry

Cell: 3.1396 3.1396 3.7713 Å, 90.00 90.00 120.00°
Closest atoms and distances in Å follow each position.
Positions (direct):
Cu (0.6667, 0.3333, 0.5000)  6 As 2.62
As (0.0000, 0.0000, 0.0000)  6 Cu 2.62

Properties
* DOS at the Fermi energy: 0.41 states/eV/atom
* energy of formation from the pure elements: 260.8 meV per atom
* density: 7.1 g/cm3


[2]
Ca2Cu4SiGe3 | PBE-GGA | optimized geometry

Cell: 4.1052 4.1052 10.3213 Å, 90.00 90.00 90.00°
Closest atoms and distances in Å follow each position.
Positions (direct):
Ge (0.5000, 0.0000, 0.8661)  5 Cu 2.43-2.47
Ge (0.0000, 0.0000, 0.5000)  4 Cu 2.46
Ge (0.0000, 0.5000, 0.1339)  5 Cu 2.43-2.47
Cu (0.0000, 0.5000, 0.3694)  3 Ge 2.43-2.46, 2 Si 2.46
Cu (0.5000, 0.5000, 0.0000)  4 Ge 2.47
Cu (0.0000, 0.0000, 0.0000)  4 Ge 2.47
Cu (0.5000, 0.0000, 0.6306)  3 Ge 2.43-2.46, 2 Si 2.46
Ca (0.5000, 0.0000, 0.2479)  6 Ge 3.13-3.31, 8 Cu 3.16-3.28, 2 Si 3.31
Ca (0.0000, 0.5000, 0.7521)  6 Ge 3.13-3.31, 8 Cu 3.16-3.28, 2 Si 3.31
Si (0.5000, 0.5000, 0.5000)  4 Cu 2.46

Properties
* ΔE_f (raw): -0.338 eV per atom
* DOS at the Fermi energy: 0.38 states/eV/atom
* density: 5.5 g/cm3


[3]
Pr6SmY12 | PBE-GGA | optimized geometry

Cell: 8.8462 8.8462 8.8462 Å, 99.05 99.05 99.05°
Closest atoms and distances in Å follow each position.
Positions (direct):
Pr (0.0981, 0.0981, 0.6570)  1 Pr 3.12, 1 Sm 3.48
Pr (0.6570, 0.0981, 0.0981)  1 Pr 3.12, 1 Sm 3.48
Pr (0.9019, 0.9019, 0.3430)  1 Pr 3.12, 1 Sm 3.48
Pr (0.3430, 0.9019, 0.9019)  1 Pr 3.12, 1 Sm 3.48
Pr (0.0981, 0.6570, 0.0981)  1 Pr 3.12, 1 Sm 3.48
Pr (0.9019, 0.3430, 0.9019)  1 Pr 3.12, 1 Sm 3.48
Y (0.3534, 0.0804, 0.3534)  6 Y 3.39-3.67, 2 Pr 3.77
Y (0.6466, 0.6466, 0.9196)  6 Y 3.39-3.67, 2 Pr 3.77
Y (0.5000, 0.7570, 0.2430)  6 Y 3.39-3.58, 4 Pr 3.51-3.62
Y (0.7570, 0.2430, 0.5000)  6 Y 3.39-3.58, 4 Pr 3.51-3.62
Y (0.3534, 0.3534, 0.0804)  6 Y 3.39-3.67, 2 Pr 3.77
Y (0.2430, 0.5000, 0.7570)  6 Y 3.39-3.58, 4 Pr 3.51-3.62
Y (0.7570, 0.5000, 0.2430)  6 Y 3.39-3.58, 4 Pr 3.51-3.62
Y (0.6466, 0.9196, 0.6466)  6 Y 3.39-3.67, 2 Pr 3.77
Y (0.9196, 0.6466, 0.6466)  6 Y 3.39-3.67, 2 Pr 3.77
Y (0.0804, 0.3534, 0.3534)  6 Y 3.39-3.67, 2 Pr 3.77
Y (0.5000, 0.2430, 0.7570)  6 Y 3.39-3.58, 4 Pr 3.51-3.62
Y (0.2430, 0.7570, 0.5000)  6 Y 3.39-3.58, 4 Pr 3.51-3.62
Sm (0.0000, 0.0000, 0.0000)  6 Pr 3.48

Properties
* distance to the lowest polymorph of the same formula: 0.094 eV/atom
* DOS at the Fermi energy: 1.79 states/eV/atom
* energy of formation from the pure elements: 205.7 meV per atom
* density: 5.2 g/cm3